{
  "formula": "NaMnIn2",
  "functional": "PBE",
  "state": "optimized geometry",
  "density_g_cm3": 5.909,
  "vol_a3_per_atom": 21.607,
  "e_above_lowest_polymorph_ev_per_atom": 0.077,
  "formation_energy_ev_per_atom": 0.147,
  "magnetic_moment_mub_per_cell": 3.910,
  "lattice": [[0.000, 3.509, 3.509], [3.509, 0.000, 3.509], [3.509, 3.509, 0.000]],
  "species": ["Na", "Mn", "In", "In"],
  "fractional_positions": [[0.000, 0.000, 0.000], [0.500, 0.500, 0.500], [0.250, 0.250, 0.250], [0.750, 0.750, 0.750]]
}


{
  "formula": "Ba3ScSe",
  "functional": "PBE",
  "state": "optimized geometry",
  "raw_formation_energy_kj_per_mol_atoms": -37,
  "density_g_cm3": 3.524,
  "vol_a3_per_atom": 50.508,
  "e_above_lowest_polymorph_ev_per_atom": 0.000,
  "magnetic_moment_mub_per_cell": 2.456,
  "lattice": [[6.321, 0.000, 0.000], [0.000, 6.321, 0.000], [0.000, 0.000, 6.321]],
  "species": ["Ba", "Ba", "Ba", "Sc", "Se"],
  "fractional_positions": [[0.000, 0.000, 0.500], [0.000, 0.500, 0.000], [0.500, 0.000, 0.000], [0.500, 0.500, 0.500], [0.000, 0.000, 0.000]]
}


- What is the formula in the second record?
  Ba3ScSe


Please write out number 1 again, unchanged.
{
  "formula": "NaMnIn2",
  "functional": "PBE",
  "state": "optimized geometry",
  "density_g_cm3": 5.909,
  "vol_a3_per_atom": 21.607,
  "e_above_lowest_polymorph_ev_per_atom": 0.077,
  "formation_energy_ev_per_atom": 0.147,
  "magnetic_moment_mub_per_cell": 3.910,
  "lattice": [[0.000, 3.509, 3.509], [3.509, 0.000, 3.509], [3.509, 3.509, 0.000]],
  "species": ["Na", "Mn", "In", "In"],
  "fractional_positions": [[0.000, 0.000, 0.000], [0.500, 0.500, 0.500], [0.250, 0.250, 0.250], [0.750, 0.750, 0.750]]
}